1.
Li2TiS2: optimized geometry, PBE-GGA.

Values from the calculation:
- ρ (g cm⁻³) = 2.7
- final energy (eV/atom) = -5.054
- E_form (uncorrected) (kJ/mol of atoms) = -102.1

Unit cell a=6.591 b=6.591 c=3.539 alpha=90.00 beta=90.00 gamma=90.00
Fractional coordinates of all 10 atoms:
Li 0.141 0.359 0.000
Li 0.359 0.859 0.000
Li 0.641 0.141 0.000
Li 0.859 0.641 0.000
Ti 0.000 0.000 0.500
Ti 0.500 0.500 0.500
S 0.178 0.678 0.500
S 0.322 0.178 0.500
S 0.678 0.822 0.500
S 0.822 0.322 0.500

2.
LiTi4S8: optimized geometry, PBE-GGA.

Values from the calculation:
- E above lowest polymorph (eV per atom) = 0.035
- ρ (g cm⁻³) = 3.0
- final energy (eV/atom) = -6.433
- E_form (uncorrected) (kJ/mol of atoms) = -127.1

Unit cell a=7.095 b=7.095 c=7.095 alpha=60.00 beta=60.00 gamma=60.00
Fractional coordinates of all 13 atoms:
Li 0.000 0.000 0.000
Ti 0.378 0.378 0.378
Ti 0.378 0.378 0.865
Ti 0.378 0.865 0.378
Ti 0.865 0.378 0.378
S 0.133 0.133 0.133
S 0.133 0.133 0.601
S 0.133 0.601 0.133
S 0.139 0.620 0.620
S 0.601 0.133 0.133
S 0.620 0.139 0.620
S 0.620 0.620 0.139
S 0.620 0.620 0.620